Record 1
This record from Alexandria describes an optimized crystal structure of MgTiReSb2. The functional is PBE.

Values from the calculation:
Energy relative to the elements, uncorrected ... 1.707 eV/atom
Total magnetic moment ... 3.8 Bohr magnetons per cell

a b c (Å): 5.091 5.091 4.743
angles (deg): 90.00 90.00 90.00
Element x y z (fractional)
1 Mg 0.000 0.000 0.000
2 Ti 0.000 0.000 0.500
3 Re 0.500 0.500 0.500
4 Sb 0.000 0.500 0.000
5 Sb 0.500 0.000 0.000


Record 2
This record from Alexandria describes an optimized crystal structure of Ba2CaCr. The functional is PBE.

Values from the calculation:
ΔE to the lowest computed polymorph ... 0.098 eV per atom
Total magnetic moment ... 4.8 Bohr magnetons per cell

a b c (Å): 6.293 6.293 6.293
angles (deg): 120.72 120.72 88.76
Element x y z (fractional)
1 Ba 0.250 0.750 0.500
2 Ba 0.750 0.250 0.500
3 Ca 0.000 0.000 0.000
4 Cr 0.500 0.500 0.000


Record 3
This record from Alexandria describes an optimized crystal structure of TbFe22B6. The functional is PBE.

Values from the calculation:
Total magnetic moment ... 44.3 Bohr magnetons per cell

a b c (Å): 7.568 7.568 7.568
angles (deg): 60.00 60.00 60.00
Element x y z (fractional)
1 Tb 0.000 0.000 0.000
2 Fe 0.000 0.000 0.351
3 Fe 0.000 0.000 0.649
4 Fe 0.000 0.351 0.000
5 Fe 0.000 0.351 0.649
6 Fe 0.000 0.649 0.000
7 Fe 0.000 0.649 0.351
8 Fe 0.146 0.618 0.618
9 Fe 0.250 0.250 0.250
10 Fe 0.351 0.000 0.000
11 Fe 0.351 0.000 0.649
12 Fe 0.351 0.649 0.000
13 Fe 0.382 0.382 0.382
14 Fe 0.382 0.382 0.854
15 Fe 0.382 0.854 0.382
16 Fe 0.618 0.146 0.618
17 Fe 0.618 0.618 0.146
18 Fe 0.618 0.618 0.618
19 Fe 0.649 0.000 0.000
20 Fe 0.649 0.000 0.351
21 Fe 0.649 0.351 0.000
22 Fe 0.750 0.750 0.750
23 Fe 0.854 0.382 0.382
24 B 0.273 0.273 0.727
25 B 0.273 0.727 0.273
26 B 0.273 0.727 0.727
27 B 0.727 0.273 0.273
28 B 0.727 0.273 0.727
29 B 0.727 0.727 0.273


Record 4
This record from Alexandria describes an optimized crystal structure of Li2AgPb. The functional is PBE.

Values from the calculation:
Total magnetic moment ... 0.0 Bohr magnetons per cell

a b c (Å): 5.196 5.196 5.196
angles (deg): 131.58 131.44 71.00
Element x y z (fractional)
1 Li 0.250 0.250 0.000
2 Li 0.750 0.750 0.000
3 Ag 0.500 0.000 0.500
4 Pb 0.000 0.500 0.500


Record 5
This record from Alexandria describes an optimized crystal structure of NdTmScAg. The functional is PBE.

Values from the calculation:
ΔE to the lowest computed polymorph ... 0.000 eV per atom
Total magnetic moment ... 0.0 Bohr magnetons per cell

a b c (Å): 3.558 3.558 8.344
angles (deg): 90.00 90.00 90.00
Element x y z (fractional)
1 Nd 0.000 0.000 0.000
2 Tm 0.500 0.500 0.692
3 Sc 0.500 0.500 0.284
4 Ag 0.000 0.000 0.474


Record 6
This record from Alexandria describes an optimized crystal structure of BaSr2Al2Sb4. The functional is PBE.

Values from the calculation:
Energy relative to the elements, uncorrected ... -0.670 eV/atom
Total magnetic moment ... 0.0 Bohr magnetons per cell

a b c (Å): 8.927 8.927 8.218
angles (deg): 109.61 109.61 29.49
Element x y z (fractional)
1 Ba 0.000 0.000 0.000
2 Sr 0.127 0.127 0.547
3 Sr 0.873 0.873 0.453
4 Al 0.327 0.327 0.016
5 Al 0.673 0.673 0.984
6 Sb 0.218 0.218 0.202
7 Sb 0.473 0.473 0.289
8 Sb 0.527 0.527 0.711
9 Sb 0.782 0.782 0.798


Record 7
This record from Alexandria describes an optimized crystal structure of La2MgVCd. The functional is PBE.

Values from the calculation:
Total magnetic moment ... 4.1 Bohr magnetons per cell

a b c (Å): 5.902 5.902 4.902
angles (deg): 90.00 90.00 90.00
Element x y z (fractional)
1 La 0.000 0.500 0.000
2 La 0.500 0.000 0.000
3 Mg 0.000 0.000 0.000
4 V 0.000 0.000 0.500
5 Cd 0.500 0.500 0.500


Record 8
This record from Alexandria describes an optimized crystal structure of AgRh2Br. The functional is PBE.

Values from the calculation:
ΔE to the lowest computed polymorph ... 0.083 eV per atom
Energy relative to the elements, uncorrected ... 0.388 eV/atom
Total magnetic moment ... 1.0 Bohr magnetons per cell

a b c (Å): 9.071 9.071 9.071
angles (deg): 19.20 19.20 19.20
Element x y z (fractional)
1 Ag 0.000 0.000 0.000
2 Rh 0.249 0.249 0.249
3 Rh 0.509 0.509 0.509
4 Br 0.766 0.766 0.766


no.,total DFT energy (no corrections) (eV/cell)
1,-21.650
2,-13.444
3,-234.800
4,-11.302
5,-18.859
6,-35.291
7,-17.598
8,-17.674